Record 1
Here is a geometry-optimized LaTbAu2O8 structure from Alexandria. Energies are from PBE.

Properties
M_tot: 4.053 μB per formula unit
crystal system: tetragonal
symmetry: I-4, No. 82
energy relative to the elements, uncorrected: -1.19 eV per atom

Geometry as POSCAR:
```
LaTbAu2O8
1.0
-1.789 -2.319 -4.817
5.266 -1.639 -1.166
-2.594 -2.544 5.487
La Tb Au O
1 1 2 8
direct
0.000 0.000 0.000
0.750 0.250 0.500
0.500 0.500 0.000
0.250 0.750 0.500
0.646 0.873 0.084
0.438 0.210 0.084
0.610 0.657 0.573
0.963 0.915 0.573
0.085 0.390 0.427
0.343 0.037 0.427
0.127 0.562 0.916
0.790 0.354 0.916
```


Record 2
Here is a geometry-optimized La2Te2AuO2 structure from Alexandria. Energies are from PBE.

Properties
M_tot: 0.000 μB per formula unit
crystal system: trigonal
symmetry: P-3m1, No. 164
energy relative to the elements, uncorrected: -1.94 eV per atom

Geometry as POSCAR:
```
La2Te2AuO2
1.0
-1.670 -3.535 -1.179
0.503 0.795 3.973
-11.713 5.399 0.402
La Te Au O
2 2 1 2
direct
0.667 0.333 0.381
0.333 0.667 0.619
0.000 0.000 0.199
0.000 0.000 0.801
0.000 0.000 0.000
0.667 0.333 0.571
0.333 0.667 0.429
```